{"formula": "Pr2NiO4", "functional": "PBE with a Hubbard U", "state": "optimized geometry", "lattice_angstrom": [[5.5899, 0.0000, 0.0000], [0.0000, 5.5899, 0.0000], [0.0000, 0.0000, 12.2770]], "species": ["Ni", "O", "Ni", "Pr", "Pr", "O", "O", "O", "Pr", "O", "O", "Pr", "O", "Pr", "O", "Pr", "Ni", "Ni", "O", "O", "Pr", "O", "O", "O", "O", "Pr", "O", "O"], "frac_coords": [[0.7500, 0.7500, 0.2500], [0.0000, 0.0000, 0.2500], [0.7500, 0.2500, 0.7500], [0.7347, 0.7653, 0.8868], [0.2653, 0.2347, 0.8868], [0.0000, 0.5000, 0.2783], [0.8012, 0.6988, 0.0709], [0.3012, 0.1988, 0.4291], [0.7347, 0.2347, 0.3868], [0.0000, 0.5000, 0.7783], [0.0000, 0.0000, 0.7500], [0.7653, 0.7347, 0.6132], [0.5000, 0.0000, 0.7217], [0.2653, 0.7653, 0.3868], [0.5000, 0.5000, 0.2500], [0.2347, 0.2653, 0.6132], [0.2500, 0.7500, 0.7500], [0.2500, 0.2500, 0.2500], [0.8012, 0.3012, 0.5709], [0.6988, 0.1988, 0.9291], [0.7653, 0.2653, 0.1132], [0.5000, 0.0000, 0.2217], [0.1988, 0.6988, 0.5709], [0.5000, 0.5000, 0.7500], [0.3012, 0.8012, 0.9291], [0.2347, 0.7347, 0.1132], [0.1988, 0.3012, 0.0709], [0.6988, 0.8012, 0.4291]], "total_magnetization_mub_per_fu": 2.0, "relative_energy_ev_per_atom": 0.0000, "sg": "P4_2/ncm", "crystal_system": "tetragonal"}